[1]
The following is a GGA-PBEsol calculation of a geometry-optimized Zr2POs structure, from the Alexandria database.

## Properties
As for the space-group type: P4mm, No. 99.

a b c (Å): 2.978 2.978 7.687
angles (deg): 90.00 90.00 90.00
Atoms (fractional coordinates):
Zr  0.000  0.000  0.000
Zr  0.500  0.500  0.329
P  0.500  0.500  0.754
Os  0.000  0.000  0.599

[2]
The following is a GGA-PBEsol calculation of a geometry-optimized ZrPOs structure, from the Alexandria database.

## Properties
As for the space-group type: P3m1, No. 156.

a b c (Å): 2.965 2.965 6.236
angles (deg): 90.00 90.00 120.00
Atoms (fractional coordinates):
Zr  0.000  0.000  0.000
P  0.333  0.667  0.353
Os  0.667  0.333  0.614

[3]
The following is a GGA-PBEsol calculation of a geometry-optimized ZrPOs structure, from the Alexandria database.

## Properties
As for the space-group type: Pnma, No. 62.

a b c (Å): 6.408 3.886 7.273
angles (deg): 90.00 90.00 90.00
Atoms (fractional coordinates):
Zr  0.020  0.250  0.178
Zr  0.480  0.750  0.678
Zr  0.520  0.250  0.322
Zr  0.980  0.750  0.822
P  0.223  0.750  0.377
P  0.277  0.250  0.877
P  0.723  0.750  0.123
P  0.777  0.250  0.623
Os  0.152  0.250  0.561
Os  0.348  0.750  0.061
Os  0.652  0.250  0.939
Os  0.848  0.750  0.439

[4]
The following is a GGA-PBEsol calculation of a geometry-optimized ZrPOs2 structure, from the Alexandria database.

## Properties
As for the space-group type: R-3m, No. 166.

a b c (Å): 8.430 8.430 8.430
angles (deg): 19.81 19.81 19.81
Atoms (fractional coordinates):
Zr  0.000  0.000  0.000
P  0.500  0.500  0.500
Os  0.236  0.236  0.236
Os  0.764  0.764  0.764

[5]
The following is a GGA-PBEsol calculation of a geometry-optimized Zr2POs structure, from the Alexandria database.

## Properties
As for the space-group type: Cmmm, No. 65.

a b c (Å): 4.602 4.602 3.254
angles (deg): 90.00 90.00 102.87
Atoms (fractional coordinates):
Zr  0.000  0.500  0.000
Zr  0.500  0.000  0.000
P  0.000  0.000  0.500
Os  0.500  0.500  0.500

[6]
The following is a GGA-PBEsol calculation of a geometry-optimized Rb3OsPb structure, from the Alexandria database.

## Properties
As for the space-group type: Pm-3m, No. 221.

a b c (Å): 6.231 6.231 6.231
angles (deg): 90.00 90.00 90.00
Atoms (fractional coordinates):
Rb  0.000  0.000  0.500
Rb  0.000  0.500  0.000
Rb  0.500  0.000  0.000
Os  0.000  0.000  0.000
Pb  0.500  0.500  0.500

[7]
The following is a GGA-PBEsol calculation of a geometry-optimized ReOs2Pb structure, from the Alexandria database.

## Properties
As for the space-group type: Pmm2, No. 25.

a b c (Å): 2.799 3.644 6.708
angles (deg): 90.00 90.00 90.00
Atoms (fractional coordinates):
Re  0.000  0.000  0.000
Os  0.000  0.000  0.395
Os  0.500  0.500  0.196
Pb  0.500  0.500  0.691

[8]
The following is a GGA-PBEsol calculation of a geometry-optimized ReOsPb2 structure, from the Alexandria database.

## Properties
As for the space-group type: R-3m, No. 166. The relative energy among the computed polymorphs comes out at 0.0000 eV per atom.

a b c (Å): 8.961 8.961 8.961
angles (deg): 20.11 20.11 20.11
Atoms (fractional coordinates):
Re  0.000  0.000  0.000
Os  0.500  0.500  0.500
Pb  0.249  0.249  0.249
Pb  0.751  0.751  0.751

Calculated calculated formation energy, -379; -190; -1019; 24; -611; 1436; 815; 1203 meV/atom (same order as the records).